# 1
Sm3Er6Tm2: optimized geometry, PBE.

DOS at the Fermi energy, states/eV/f.u.: 17.591
Mass density, g cm⁻³: 7.85
VASP energy, eV per formula unit: -46.027
Energy of formation from the pure elements, eV/atom: 0.40
Distance to the lowest polymorph of the same formula, kJ/mol of formula units: 128.0

Cell: 5.6296 5.6296 41.4570 Å, 90.00 90.00 120.00°
Space group R-3m (No. 166, hexagonal axes)
Symmetry-distinct sites (fractional):
Sm1 0.0000 0.0000 0.0000 (multiplicity 3)
Sm2 0.0000 0.0000 0.0714 (multiplicity 6)
Er1 0.0000 0.0000 0.1491 (multiplicity 6)
Er2 0.0000 0.0000 0.2280 (multiplicity 6)
Er3 0.0000 0.0000 0.3227 (multiplicity 6)
Tm1 0.0000 0.0000 0.4569 (multiplicity 6)

=====

# 2
Sm5Er4Tm2: optimized geometry, PBE.

DOS at the Fermi energy, states/eV/f.u.: 17.739
Mass density, g cm⁻³: 7.92
VASP energy, eV per formula unit: -48.442
Energy of formation from the pure elements, eV/atom: 0.21
Distance to the lowest polymorph of the same formula, kJ/mol of formula units: 88.3

Cell: 3.4983 9.0195 23.3640 Å, 90.00 90.00 90.00°
Space group Immm (No. 71)
Symmetry-distinct sites (fractional):
Sm1 0.0000 0.0000 0.0000 (multiplicity 2)
Sm2 0.0000 0.2996 0.3542 (multiplicity 8)
Er1 0.0000 0.1869 0.5000 (multiplicity 4)
Er2 0.0000 0.5000 0.0969 (multiplicity 4)
Tm1 0.0000 0.5000 0.2306 (multiplicity 4)

=====

# 3
SmEr2Tm8: optimized geometry, PBE.

DOS at the Fermi energy, states/eV/f.u.: 18.315
Mass density, g cm⁻³: 8.98
VASP energy, eV per formula unit: -48.469
Energy of formation from the pure elements, eV/atom: 0.10

Cell: 17.1655 5.3663 8.2367 Å, 90.00 116.42 90.00°
Space group C2/m (No. 12)
Symmetry-distinct sites (fractional):
Sm1 0.0000 0.0000 0.0000 (multiplicity 2)
Er1 0.2019 0.5000 0.6585 (multiplicity 4)
Tm1 0.0183 0.5000 0.7222 (multiplicity 4)
Tm2 0.1185 0.0000 0.4429 (multiplicity 4)
Tm3 0.1597 0.5000 0.1983 (multiplicity 4)
Tm4 0.1663 0.0000 0.8932 (multiplicity 4)

=====

# 4
SmEr4Tm: optimized geometry, PBE.

DOS at the Fermi energy, states/eV/f.u.: 12.580
Mass density, g cm⁻³: 8.50
VASP energy, eV per formula unit: -26.248
Energy of formation from the pure elements, eV/atom: 0.20
Distance to the lowest polymorph of the same formula, kJ/mol of formula units: 82.8

Cell: 3.4288 9.7927 5.7535 Å, 90.00 90.07 90.00°
Space group P2/m (No. 10)
Symmetry-distinct sites (fractional):
Sm1 0.0000 0.0000 0.0000 (multiplicity 1)
Er1 0.0000 0.1913 0.5000 (multiplicity 2)
Er2 0.5000 0.3139 0.0000 (multiplicity 2)
Tm1 0.5000 0.5000 0.5000 (multiplicity 1)